# PuIn2Ag6

A relaxed PuIn2Ag6 crystal (PBE, the Alexandria database).

Cell lengths 8.500, 8.500, 8.500 Å; angles 159.18, 119.93, 64.30 degrees
Element x y z (fractional)
Pu: 0.000 0.000 0.000
In: 0.347 0.847 0.500
In: 0.653 0.153 0.500
Ag: 0.000 0.326 0.673
Ag: 0.000 0.674 0.327
Ag: 0.332 0.500 0.832
Ag: 0.347 0.674 0.673
Ag: 0.653 0.326 0.327
Ag: 0.668 0.500 0.168

Formation energy from the elements   0.0489 eV per atom
Uncorrected energy   -36.48 eV for the cell shown
SG   Immm, No. 71
Density of states at the Fermi level   1.29 states/eV/atom

=====

# PuIn5Ag

A relaxed PuIn5Ag crystal (PBE, the Alexandria database).

Cell lengths 4.817, 4.817, 7.566 Å; angles 90.00, 90.00, 90.00 degrees
Element x y z (fractional)
Pu: 0.000 0.000 0.000
In: 0.000 0.500 0.287
In: 0.000 0.500 0.713
In: 0.500 0.000 0.287
In: 0.500 0.000 0.713
In: 0.500 0.500 0.000
Ag: 0.000 0.000 0.500

Formation energy from the elements   -0.1326 eV per atom
Uncorrected energy   -31.80 eV for the cell shown
SG   P4/mmm, No. 123
Density of states at the Fermi level   1.83 states/eV/atom

=====

# PuIn2Ag2

A relaxed PuIn2Ag2 crystal (PBE, the Alexandria database).

Cell lengths 5.291, 5.292, 9.287 Å; angles 73.71, 74.00, 72.42 degrees
Element x y z (fractional)
Pu: 0.182 0.318 0.250
Pu: 0.818 0.682 0.750
In: 0.240 0.100 0.622
In: 0.397 0.262 0.878
In: 0.603 0.738 0.122
In: 0.760 0.900 0.378
Ag: 0.188 0.784 0.942
Ag: 0.283 0.687 0.442
Ag: 0.717 0.313 0.558
Ag: 0.812 0.216 0.058

Formation energy from the elements   -0.0554 eV per atom
Uncorrected energy   -51.58 eV for the cell shown
SG   P-1, No. 2
Density of states at the Fermi level   3.25 states/eV/atom
ΔE to the lowest computed polymorph   0 meV per atom

=====

# Pu3In12Ag

A relaxed Pu3In12Ag crystal (PBE, the Alexandria database).

Cell lengths 4.627, 4.627, 18.580 Å; angles 90.00, 90.00, 90.00 degrees
Element x y z (fractional)
Pu: 0.000 0.000 0.000
Pu: 0.000 0.000 0.254
Pu: 0.000 0.000 0.746
In: 0.000 0.500 0.127
In: 0.000 0.500 0.382
In: 0.000 0.500 0.618
In: 0.000 0.500 0.873
In: 0.500 0.000 0.127
In: 0.500 0.000 0.382
In: 0.500 0.000 0.618
In: 0.500 0.000 0.873
In: 0.500 0.500 0.000
In: 0.500 0.500 0.250
In: 0.500 0.500 0.500
In: 0.500 0.500 0.750
Ag: 0.000 0.000 0.500

Formation energy from the elements   -0.1321 eV per atom
Uncorrected energy   -80.82 eV for the cell shown
SG   P4/mmm, No. 123
Density of states at the Fermi level   2.59 states/eV/atom

=====

# PuIn3Ag3

A relaxed PuIn3Ag3 crystal (PBE, the Alexandria database).

Cell lengths 7.557, 7.557, 7.557 Å; angles 90.00, 90.00, 90.00 degrees
Element x y z (fractional)
Pu: 0.000 0.000 0.000
Pu: 0.500 0.500 0.500
In: 0.000 0.250 0.500
In: 0.000 0.750 0.500
In: 0.250 0.500 0.000
In: 0.500 0.000 0.250
In: 0.500 0.000 0.750
In: 0.750 0.500 0.000
Ag: 0.000 0.500 0.250
Ag: 0.000 0.500 0.750
Ag: 0.250 0.000 0.500
Ag: 0.500 0.250 0.000
Ag: 0.500 0.750 0.000
Ag: 0.750 0.000 0.500

Formation energy from the elements   0.4254 eV per atom
Uncorrected energy   -56.25 eV for the cell shown
SG   Pm-3n, No. 223
Density of states at the Fermi level   3.31 states/eV/atom

=====

# Pu2InAg2

A relaxed Pu2InAg2 crystal (PBE, the Alexandria database).

Cell lengths 6.152, 6.152, 11.673 Å; angles 93.45, 93.45, 30.46 degrees
Element x y z (fractional)
Pu: 0.061 0.061 0.157
Pu: 0.191 0.191 0.459
Pu: 0.809 0.809 0.541
Pu: 0.939 0.939 0.843
In: 0.208 0.208 0.747
In: 0.792 0.792 0.253
Ag: 0.340 0.340 0.052
Ag: 0.472 0.472 0.376
Ag: 0.528 0.528 0.624
Ag: 0.660 0.660 0.948

Formation energy from the elements   0.0801 eV per atom
Uncorrected energy   -73.41 eV for the cell shown
SG   C2/m, No. 12
Density of states at the Fermi level   2.45 states/eV/atom

=====

# PuInAg

A relaxed PuInAg crystal (PBE, the Alexandria database).

Cell lengths 7.075, 7.075, 7.075 Å; angles 153.89, 153.89, 37.27 degrees
Element x y z (fractional)
Pu: 0.000 0.000 0.000
In: 0.682 0.682 0.000
Ag: 0.327 0.327 0.000

Formation energy from the elements   -0.0466 eV per atom
Uncorrected energy   -20.06 eV for the cell shown
SG   I4mm, No. 107
Density of states at the Fermi level   2.28 states/eV/atom

=====

# Pu2InAg2

A relaxed Pu2InAg2 crystal (PBE, the Alexandria database).

Cell lengths 8.034, 8.034, 3.035 Å; angles 90.00, 90.00, 144.06 degrees
Element x y z (fractional)
Pu: 0.110 0.890 0.000
Pu: 0.890 0.110 0.000
In: 0.500 0.500 0.500
Ag: 0.299 0.701 0.500
Ag: 0.701 0.299 0.500

Formation energy from the elements   -0.0888 eV per atom
Uncorrected energy   -37.55 eV for the cell shown
SG   Cmmm, No. 65
Density of states at the Fermi level   2.94 states/eV/atom

=====

no.,V (Å³ per cell)
1,188.1
2,175.6
3,232.8
4,397.9
5,431.5
6,223.5
7,68.5
8,115.0